ZnMoBr SCAN single point on PBEsol structure; energy above the most stable polymorph in this dataset = 0 meV/atom
1.0
3.079 0.000 0.000
-1.539 2.666 0.000
0.000 0.000 6.409
Zn Mo Br
1 1 1
Cartesian
0.000 0.000 0.000
1.539 0.889 1.984
0.000 1.778 3.817


CdCoOs2 SCAN single point on PBEsol structure; energy of formation = 2.613 eV per formula unit
1.0
-1.933 1.933 3.750
1.933 -1.933 3.750
1.933 1.933 -3.750
Cd Co Os
1 1 2
Cartesian
0.000 0.000 0.000
0.000 1.933 1.875
1.933 0.000 1.875
0.000 0.000 3.750


TmIn7Cu5 SCAN single point on PBEsol structure; energy of formation = -1.282 eV per formula unit
1.0
-2.747 4.636 4.613
2.747 -4.636 4.613
2.747 4.636 -4.613
Tm In Cu
1 7 5
Cartesian
0.000 0.000 0.000
2.747 1.742 -0.121
2.747 0.000 2.152
0.000 0.000 3.190
0.000 3.113 0.125
0.000 0.000 6.134
0.000 6.160 0.125
0.000 2.894 4.492
1.415 2.371 2.315
4.079 2.371 2.315
0.000 4.636 2.416
-1.332 2.266 6.928
1.332 2.266 6.928


Li3FeSi6O15 SCAN single point on PBEsol structure; energy above the most stable polymorph in this dataset = 0 meV/atom
1.0
7.158 -8.440 0.000
7.158 8.440 0.000
0.000 0.000 9.859
Li Fe Si O
12 4 24 60
Cartesian
3.579 4.173 7.394
7.158 6.995 7.512
3.557 0.000 4.930
3.601 0.000 0.000
7.158 1.445 2.582
3.579 -4.173 2.465
10.737 4.173 7.394
7.158 -1.445 7.277
10.715 0.000 0.000
10.759 0.000 4.930
7.158 -6.995 2.347
10.737 -4.173 2.465
3.579 1.494 2.465
3.579 -1.494 7.394
10.737 1.494 2.465
10.737 -1.494 7.394
5.597 6.200 0.040
1.560 1.047 6.906
5.633 5.343 5.433
1.560 -1.047 2.953
5.633 3.098 0.504
8.719 6.200 0.040
5.597 2.240 4.970
8.683 5.343 5.433
5.598 1.047 7.882
8.683 3.098 0.504
5.598 -1.047 1.977
8.719 2.240 4.970
5.597 -2.240 4.889
8.718 1.047 7.882
5.633 -3.098 9.356
8.718 -1.047 1.977
5.633 -5.343 4.426
8.719 -2.240 4.889
5.597 -6.200 9.819
8.683 -3.098 9.356
12.757 1.047 6.906
8.683 -5.343 4.426
12.757 -1.047 2.953
8.719 -6.200 9.819
2.546 2.930 3.215
5.469 6.330 4.166
1.892 1.925 8.246
7.158 7.951 2.817
2.500 1.368 0.900
7.158 6.610 9.517
5.478 4.588 9.712
4.612 2.930 1.715
5.478 3.853 4.783
2.494 0.191 3.304
7.158 5.576 6.053
2.494 -0.191 6.555
8.847 6.330 4.166
4.658 1.368 4.030
1.892 -1.925 1.613
5.266 1.925 6.542
2.500 -1.368 8.959
5.469 2.111 9.096
4.665 0.191 1.625
7.158 2.864 1.123
4.665 -0.191 8.234
8.838 4.588 9.712
2.546 -2.930 6.644
8.838 3.853 4.783
7.158 1.830 4.588
4.658 -1.368 5.829
7.158 0.489 7.746
5.266 -1.925 3.317
8.847 2.111 9.096
4.612 -2.930 8.144
9.704 2.930 1.715
5.469 -2.111 0.763
9.050 1.925 6.542
7.158 -0.489 2.113
9.658 1.368 4.030
7.158 -1.830 5.271
5.478 -3.853 5.076
11.771 2.930 3.215
5.478 -4.588 0.147
9.652 0.191 1.625
7.158 -2.864 8.736
9.652 -0.191 8.234
8.847 -2.111 0.763
11.816 1.368 0.900
9.050 -1.925 3.317
12.424 1.925 8.246
9.658 -1.368 5.829
5.469 -6.330 5.693
11.823 0.191 3.304
7.158 -5.576 3.806
11.823 -0.191 6.555
8.838 -3.853 5.076
9.704 -2.930 8.144
8.838 -4.588 0.147
7.158 -6.610 0.342
11.816 -1.368 8.959
7.158 -7.951 7.042
12.424 -1.925 1.613
8.847 -6.330 5.693
11.771 -2.930 6.644


# Sb2TeAuC

Sb2TeAuC at its PBEsol-relaxed geometry (SCAN, the Alexandria database).

Cell and atoms, written as POSCAR:
```
Sb2TeAuC
1.0
5.617 0.000 0.000
0.000 5.617 0.000
0.000 0.000 3.782
Sb Te Au C
2 1 1 1
Cartesian
0.000 2.809 0.000
2.809 0.000 0.000
0.000 0.000 1.891
2.809 2.809 0.000
2.809 2.809 1.891
```


Tc2HgCl SCAN single point on PBEsol structure; energy above the most stable polymorph in this dataset = 0 meV/atom
1.0
3.980 -1.433 0.000
3.980 1.433 0.000
-1.003 0.000 5.570
Tc Hg Cl
2 1 1
Cartesian
1.768 0.000 1.078
5.188 0.000 4.493
-0.502 0.000 2.785
3.980 0.000 0.000


SrCaFe3 SCAN single point on PBEsol structure; energy of formation = 7.128 eV per formula unit
1.0
4.863 0.000 0.000
0.000 4.863 0.000
0.000 0.000 4.863
Sr Ca Fe
1 1 3
Cartesian
0.000 0.000 0.000
2.431 2.431 2.431
0.000 2.431 2.431
2.431 0.000 2.431
2.431 2.431 0.000


# CoTc2PdS

CoTc2PdS at its PBEsol-relaxed geometry (SCAN, the Alexandria database).

Cell and atoms, written as POSCAR:
```
CoTc2PdS
1.0
4.275 0.000 0.000
0.000 4.275 0.000
0.000 0.000 4.002
Co Tc Pd S
1 2 1 1
Cartesian
0.000 0.000 0.000
0.000 2.137 2.001
2.137 0.000 2.001
2.137 2.137 0.000
0.000 0.000 2.001
```


D(E_F) / states/eV per atom: 0.60 0.73 0.25 0.00 0.44 0.86 0.89 0.78
Size of the total moment / Bohr magnetons per cell: 0.00 1.89 0.00 4.00 0.00 0.00 8.69 2.51
Uncorrected energy / eV per atom: -22.2674 -47.2165 -27.9089 -9.9001 -37.3060 -35.8127 -15.8398 -25.4515